Arrangement w

{
  "formula": "Dy4AlI5",
  "functional": "PBE",
  "state": "relaxed",
  "lattice_angstrom": [[4.1029, 0.0000, -0.9018], [0.0100, 8.8223, 0.0456], [0.2572, -0.0004, 10.9440]],
  "species": ["Dy", "Dy", "Al", "Dy", "I", "I", "I", "I", "Dy", "I"],
  "fractional_positions": [[0.6275, 0.9983, 0.2553], [0.3725, 0.0017, 0.7447], [0.5000, 0.0000, 0.0000], [0.0000, 0.2204, 0.0001], [0.8483, 0.2521, 0.6963], [0.5000, 0.5000, 0.0000], [0.1517, 0.7479, 0.3037], [0.1520, 0.2481, 0.3043], [0.0000, 0.7796, 0.9999], [0.8480, 0.7519, 0.6957]],
  "magnetic_moment_mub_per_cell": 0.000,
  "sg": "C2/m"
}

***

Arrangement x

{
  "formula": "Dy4AlI5",
  "functional": "PBE",
  "state": "relaxed",
  "lattice_angstrom": [[-2.4482, 1.4767, 3.0932], [3.0817, -6.2959, 5.4447], [7.4348, 6.4904, -0.0820]],
  "species": ["I", "I", "I", "Dy", "Al", "Dy", "I", "I", "Dy", "Dy"],
  "fractional_positions": [[0.5000, 0.5000, 0.0000], [0.1735, 0.8318, 0.3470], [0.8330, 0.6629, 0.6661], [0.9998, 0.7806, 0.9996], [0.5000, 0.0000, 0.0000], [0.3519, 0.9239, 0.7038], [0.8265, 0.1682, 0.6530], [0.1670, 0.3371, 0.3339], [0.6481, 0.0761, 0.2962], [0.0002, 0.2194, 0.0004]],
  "magnetic_moment_mub_per_cell": 0.000,
  "sg": "C2/m"
}

***

arrangement x comes first in stability; the runner-up is 34 meV per atom higher.